{
  "formula": "AcAlFeO4",
  "functional": "PBE+U",
  "state": "optimized geometry",
  "lattice": [[5.5141, 0.0000, 0.0000], [0.0000, 5.7727, 0.0000], [-1.7776, 0.0000, 6.2800]],
  "species": ["Ac", "Ac", "Al", "Al", "Fe", "Fe", "O", "O", "O", "O", "O", "O", "O", "O"],
  "fractional_positions": [[0.2397, 0.2500, 0.4459], [0.7603, 0.7500, 0.5541], [0.2252, 0.7500, 0.1619], [0.7748, 0.2500, 0.8381], [0.3443, 0.2500, 0.9902], [0.6557, 0.7500, 0.0098], [0.0043, 0.2500, 0.0805], [0.0935, 0.7500, 0.3810], [0.4620, 0.5234, 0.2099], [0.4620, 0.9766, 0.2099], [0.5380, 0.0234, 0.7901], [0.5380, 0.4766, 0.7901], [0.9065, 0.2500, 0.6190], [0.9957, 0.7500, 0.9195]],
  "final_energy_ev_per_atom": -7.3124
}